[1]
A relaxed structure of MgZrAl2, computed with GGA-PBE.

Lattice parameters (Å, degrees): 5.2951 5.2951 5.2972 133.89 133.88 67.23
Last column: nearest neighbours and their distance in Å.
Atoms (fractional coordinates):
Al1 0.0000 0.0000 0.0000  4 Al 2.93-2.94, 4 Zr 3.03, 4 Mg 3.03
Al2 0.5000 0.5000 0.0000  4 Al 2.93-2.94, 4 Zr 3.03, 4 Mg 3.03
Mg1 0.7500 0.2500 0.5000  4 Zr 2.93-2.94, 8 Al 3.03
Zr1 0.2500 0.7500 0.5000  4 Mg 2.93-2.94, 8 Al 3.03

Values from the calculation:
SG: Fmmm (69)
DOS(E_F): 2.98 states/eV per cell
mass density: 3.71 g/cm3

---

[2]
A relaxed structure of Mg2Zr2Al, computed with GGA-PBE.

Lattice parameters (Å, degrees): 7.7390 7.7390 3.5395 90.00 90.00 90.00
Last column: nearest neighbours and their distance in Å.
Atoms (fractional coordinates):
Mg1 0.3744 0.8744 0.0000  1 Mg 2.75, 6 Zr 2.81-2.95, 2 Al 3.06
Mg2 0.8744 0.6256 0.0000  1 Mg 2.75, 6 Zr 2.81-2.95, 2 Al 3.06
Mg3 0.6256 0.1256 0.0000  1 Mg 2.75, 6 Zr 2.81-2.95, 2 Al 3.06
Mg4 0.1256 0.3744 0.0000  1 Mg 2.75, 6 Zr 2.81-2.95, 2 Al 3.06
Al1 0.0000 0.0000 0.0000  4 Mg 3.06, 8 Zr 3.36
Al2 0.5000 0.5000 0.0000  4 Mg 3.06, 8 Zr 3.36
Zr1 0.1746 0.6746 0.5000  6 Mg 2.81-2.95
Zr2 0.6746 0.8254 0.5000  6 Mg 2.81-2.95
Zr3 0.8254 0.3254 0.5000  6 Mg 2.81-2.95
Zr4 0.3254 0.1746 0.5000  6 Mg 2.81-2.95

Values from the calculation:
SG: P4/mbm (127)
DOS(E_F): 6.73 states/eV per cell
mass density: 4.04 g/cm3

---

[3]
A relaxed structure of Mg3ZrAl, computed with GGA-PBE.

Lattice parameters (Å, degrees): 4.9899 4.9899 4.9899 90.00 90.00 90.00
Last column: nearest neighbours and their distance in Å.
Atoms (fractional coordinates):
Mg1 0.0000 0.5000 0.0000  2 Al 2.49
Mg2 0.0000 0.0000 0.5000  2 Al 2.49
Mg3 0.5000 0.0000 0.0000  2 Al 2.49
Al1 0.0000 0.0000 0.0000  6 Mg 2.49
Zr1 0.5000 0.5000 0.5000  12 Mg 3.53

Values from the calculation:
SG: Pm-3m (221)
offset from the most stable computed form: 0 meV per atom
DOS(E_F): 3.66 states/eV per cell
mass density: 2.55 g/cm3

---

[4]
A relaxed structure of MgZrAl2, computed with GGA-PBE.

Lattice parameters (Å, degrees): 7.4669 7.4669 6.0474 51.88 51.88 90.00
Last column: nearest neighbours and their distance in Å.
Atoms (fractional coordinates):
Mg1 0.5000 0.5000 0.0000  4 Al 2.66, 2 Zr 2.95
Mg2 0.2500 0.7500 0.5000  4 Al 2.66, 2 Zr 2.95
Al1 0.6091 0.1250 0.2500  2 Mg 2.66, 2 Zr 2.82, 2 Al 2.96
Al2 0.1409 0.6250 0.2500  2 Mg 2.66, 2 Zr 2.82, 2 Al 2.96
Al3 0.3750 0.3909 0.7500  2 Mg 2.66, 2 Zr 2.82, 2 Al 2.96
Al4 0.8750 0.8591 0.7500  2 Mg 2.66, 2 Zr 2.82, 2 Al 2.96
Zr1 0.0000 0.0000 0.0000  4 Al 2.82, 2 Mg 2.95
Zr2 0.7500 0.2500 0.5000  4 Al 2.82, 2 Mg 2.95

Values from the calculation:
SG: I-42d (122)
DOS(E_F): 3.32 states/eV per cell
mass density: 3.42 g/cm3

---

no.,formation energy (eV per atom)
1,-0.222
2,0.192
3,0.669
4,0.165